{
  "formula": "Na4VRh3O8",
  "functional": "PBE+U",
  "state": "optimized geometry",
  "final_energy_ev_per_atom": -5.9749,
  "lattice_angstrom": [[-1.375, -1.379, -5.954], [4.071, -4.936, 0.203], [-4.570, 0.377, 4.263]],
  "species": ["O", "O", "O", "Rh", "Rh", "Na", "O", "O", "Na", "O", "Na", "Na", "O", "V", "Rh", "O"],
  "fractional_positions": [[0.232, 0.703, 0.971], [0.232, 0.703, 0.464], [0.268, 0.304, 0.536], [0.500, 0.500, 0.500], [0.000, 0.500, 0.500], [0.500, 0.000, 0.500], [0.768, 0.297, 0.029], [0.732, 0.696, 0.464], [0.000, 0.000, 0.500], [0.261, 0.297, 0.029], [0.500, 0.000, 0.000], [0.000, 0.000, 0.000], [0.768, 0.297, 0.536], [0.000, 0.500, 0.000], [0.500, 0.500, 0.000], [0.739, 0.703, 0.971]]
}